BaTaMn2F | PBE+U | relaxed

- E_tot: -25.5 eV for the cell shown
- Density of states at the Fermi level: 5.67 states/eV per cell
- Volume: 33.18 A^3/atom

Unit cell a=6.0408 b=6.0408 c=4.5458 alpha=90.00 beta=90.00 gamma=90.00
Space group P4/mmm (No. 123)
One atom of each set of equivalent atoms:
Ba 0.0000 0.0000 0.0000
Ta 0.5000 0.5000 0.5000
Mn 0.0000 0.5000 0.0000
F 0.0000 0.0000 0.5000